Li2BeMo: relaxed, PBE-GGA.

The structure in POSCAR format:
```
Li2BeMo
1.0
5.236 0.002 0.000
3.084 4.232 0.000
-4.160 -2.117 2.373
Be Li Mo
1 2 1
direct
0.750 0.250 0.500
0.000 0.000 0.000
0.500 0.500 0.000
0.250 0.750 0.500
```

Energy relative to the lowest polymorph listed for this composition = 267.7 meV/atom
Symmetry = No. 139
Theoretical density = 3.75 g/cm³
Calculated total energy = -4.13 eV/atom
Formation energy from the elements = 0.47 eV/atom


CuAg4Sn3S8: relaxed, PBE-GGA.

The structure in POSCAR format:
```
CuAg4Sn3S8
1.0
7.521 0.000 0.000
0.000 7.771 0.052
-3.760 -3.837 5.453
Cu Ag Sn S
1 4 3 8
direct
0.000 0.500 0.000
0.500 0.000 0.000
0.500 0.000 0.500
0.000 0.000 0.000
0.000 0.000 0.500
0.500 0.500 0.000
0.500 0.500 0.500
0.000 0.500 0.500
0.220 0.718 0.994
0.273 0.766 0.545
0.251 0.252 0.502
0.774 0.718 0.994
0.226 0.282 0.006
0.749 0.748 0.498
0.727 0.234 0.455
0.780 0.282 0.006
```

Symmetry = No. 12
Theoretical density = 5.74 g/cm³
Calculated total energy = -3.98 eV/atom
Formation energy from raw total energies = -3.22 eV/f.u.


La2YTiBr: relaxed, PBE-GGA.

The structure in POSCAR format:
```
La2YTiBr
1.0
6.093 0.000 0.000
0.000 5.293 0.000
0.000 0.000 6.093
Y Ti Br La
1 1 1 2
direct
0.000 0.000 0.000
0.500 0.500 0.500
0.000 0.500 0.000
0.000 0.000 0.500
0.500 0.000 0.000
```

Symmetry = No. 123
Theoretical density = 4.18 g/cm³
Calculated total energy = -4.41 eV/atom
Formation energy from raw total energies = 3.86 eV/f.u.


MnCo2B: relaxed, PBE-GGA.

The structure in POSCAR format:
```
MnCo2B
1.0
-2.016 1.451 -0.125
-0.942 0.631 -2.213
-5.115 -5.033 -0.654
B Mn Co
1 1 2
direct
0.500 0.500 0.500
0.000 0.000 0.000
0.236 0.236 0.291
0.764 0.764 0.709
```

Symmetry = No. 166
Theoretical density = 8.06 g/cm³
Calculated total energy = -7.41 eV/atom
Formation energy from the elements = 0.10 eV/atom


AlTl2Bi2: relaxed, PBE-GGA.

The structure in POSCAR format:
```
AlTl2Bi2
1.0
-2.959 4.156 -5.486
-2.055 -6.233 -3.614
-4.792 0.056 2.627
Tl Bi Al
4 4 2
direct
0.346 0.846 0.000
0.846 0.654 0.000
0.654 0.154 0.000
0.154 0.346 0.000
0.153 0.653 0.500
0.653 0.847 0.500
0.847 0.347 0.500
0.347 0.153 0.500
0.000 0.000 0.000
0.500 0.500 0.000
```

Energy relative to the lowest polymorph listed for this composition = 155.4 meV/atom
Symmetry = No. 127
Theoretical density = 9.24 g/cm³
Calculated total energy = -2.97 eV/atom
Formation energy from the elements = 0.28 eV/atom


CaCoHg: relaxed, PBE-GGA.

The structure in POSCAR format:
```
CaCoHg
1.0
-0.087 4.066 2.138
-1.390 -1.957 3.665
12.736 -1.772 3.886
Ca Co Hg
4 4 4
direct
0.000 0.250 0.887
0.000 0.750 0.113
0.500 0.750 0.387
0.500 0.250 0.613
0.000 0.000 0.500
0.000 0.500 0.500
0.500 0.500 0.000
0.500 0.000 0.000
0.000 0.250 0.321
0.000 0.750 0.679
0.500 0.750 0.821
0.500 0.250 0.179
```

Symmetry = No. 74
Theoretical density = 7.36 g/cm³
Calculated total energy = -3.17 eV/atom
Formation energy from the elements = -0.03 eV/atom


Li2YOs: relaxed, PBE-GGA.

The structure in POSCAR format:
```
Li2YOs
1.0
-3.626 1.540 -1.940
-3.387 -2.685 -0.778
-4.010 0.602 3.009
Li Os Y
2 1 1
direct
0.033 0.033 0.901
0.753 0.753 0.740
0.469 0.469 0.593
0.245 0.245 0.266
```

Energy relative to the lowest polymorph listed for this composition = 71.4 meV/atom
Symmetry = No. 160
Theoretical density = 6.67 g/cm³
Calculated total energy = -5.15 eV/atom
Formation energy from the elements = 0.23 eV/atom


Sr8AgPt2: relaxed, PBE-GGA.

The structure in POSCAR format:
```
Sr8AgPt2
1.0
6.309 0.000 0.000
-0.001 8.415 -4.857
0.000 -0.003 9.716
Sr Ag Pt
8 1 2
direct
0.250 0.667 0.333
0.750 0.333 0.667
0.747 0.836 0.162
0.253 0.162 0.325
0.253 0.675 0.836
0.253 0.164 0.838
0.747 0.838 0.675
0.747 0.325 0.164
0.000 0.000 0.000
0.249 0.333 0.667
0.751 0.667 0.333
```

Symmetry = No. 147
Theoretical density = 3.86 g/cm³
Calculated total energy = -2.83 eV/atom
Formation energy from the elements = -0.25 eV/atom